{
  "formula": "Mg2Mn2Sn",
  "functional": "GGA-PBE",
  "state": "relaxed",
  "lattice_angstrom": [[-1.951, 1.951, 6.608], [1.951, -1.951, 6.608], [1.951, 1.951, -6.608]],
  "species": ["Mg", "Mg", "Mn", "Mn", "Sn"],
  "fractional_positions": [[0.250, 0.750, 0.500], [0.750, 0.250, 0.500], [0.092, 0.092, 0.000], [0.908, 0.908, 0.000], [0.500, 0.500, 0.000]],
  "formation_energy_ev_per_atom": 0.441,
  "n_ef_per_ev_cell": 2.9,
  "polymorph_energy_mev_per_atom": 254,
  "e_tot_ev_per_atom": -4.665
}

{
  "formula": "CaHfIN2",
  "functional": "GGA-PBE",
  "state": "relaxed",
  "lattice_angstrom": [[4.281, 0.000, 0.000], [0.000, 4.281, 0.000], [0.000, 0.000, 5.691]],
  "species": ["Ca", "Hf", "I", "N", "N"],
  "fractional_positions": [[0.000, 0.000, 0.000], [0.500, 0.500, 0.500], [0.500, 0.500, 0.000], [0.000, 0.500, 0.500], [0.500, 0.000, 0.500]],
  "formation_energy_uncorrected_ev_per_atom": -0.31,
  "n_ef_per_ev_cell": 1.8,
  "polymorph_energy_mev_per_atom": 0,
  "e_tot_ev_per_atom": -6.341
}

{
  "formula": "PmCu4",
  "functional": "GGA-PBE",
  "state": "relaxed",
  "lattice_angstrom": [[-4.358, 4.358, 4.358], [4.358, -4.358, 4.358], [4.358, 4.358, -4.358]],
  "species": ["Pm", "Pm", "Pm", "Pm", "Cu", "Cu", "Cu", "Cu", "Cu", "Cu", "Cu", "Cu", "Cu", "Cu", "Cu", "Cu", "Cu", "Cu", "Cu", "Cu"],
  "fractional_positions": [[0.000, 0.000, 0.430], [0.000, 0.430, 0.000], [0.430, 0.000, 0.000], [0.570, 0.570, 0.570], [0.000, 0.000, 0.799], [0.000, 0.358, 0.358], [0.000, 0.642, 0.642], [0.000, 0.799, 0.000], [0.201, 0.201, 0.201], [0.250, 0.500, 0.750], [0.250, 0.750, 0.500], [0.358, 0.000, 0.358], [0.358, 0.358, 0.000], [0.500, 0.250, 0.750], [0.500, 0.750, 0.250], [0.642, 0.000, 0.642], [0.642, 0.642, 0.000], [0.750, 0.250, 0.500], [0.750, 0.500, 0.250], [0.799, 0.000, 0.000]],
  "formation_energy_ev_per_atom": -0.106,
  "n_ef_per_ev_cell": 9.1,
  "polymorph_energy_mev_per_atom": 7,
  "e_tot_ev_per_atom": -4.333
}

{
  "formula": "Mn3Cr8CuS16",
  "functional": "GGA-PBE",
  "state": "relaxed",
  "lattice_angstrom": [[3.555, 2.052, 11.585], [-3.555, 2.052, 11.585], [0.000, -4.105, 11.585]],
  "species": ["Mn", "Mn", "Mn", "Cr", "Cr", "Cr", "Cr", "Cr", "Cr", "Cr", "Cr", "Cu", "S", "S", "S", "S", "S", "S", "S", "S", "S", "S", "S", "S", "S", "S", "S", "S"],
  "fractional_positions": [[0.000, 0.000, 0.000], [0.125, 0.125, 0.125], [0.625, 0.625, 0.625], [0.059, 0.059, 0.564], [0.059, 0.564, 0.059], [0.066, 0.562, 0.562], [0.312, 0.312, 0.312], [0.562, 0.066, 0.562], [0.562, 0.562, 0.066], [0.564, 0.059, 0.059], [0.815, 0.815, 0.815], [0.500, 0.500, 0.500], [0.168, 0.700, 0.700], [0.192, 0.192, 0.192], [0.204, 0.204, 0.661], [0.204, 0.661, 0.204], [0.421, 0.421, 0.963], [0.421, 0.963, 0.421], [0.434, 0.434, 0.434], [0.465, 0.922, 0.922], [0.661, 0.204, 0.204], [0.693, 0.693, 0.693], [0.700, 0.168, 0.700], [0.700, 0.700, 0.168], [0.922, 0.465, 0.922], [0.922, 0.922, 0.465], [0.932, 0.932, 0.932], [0.963, 0.421, 0.421]],
  "formation_energy_uncorrected_ev_per_atom": -0.68,
  "n_ef_per_ev_cell": 9.9,
  "e_tot_ev_per_atom": -6.916
}

{
  "formula": "SrBH2N",
  "functional": "GGA-PBE",
  "state": "relaxed",
  "lattice_angstrom": [[3.349, 0.000, 0.000], [0.000, 3.349, 0.000], [0.000, 0.000, 6.715]],
  "species": ["Sr", "B", "H", "H", "N"],
  "fractional_positions": [[0.000, 0.000, 0.000], [0.000, 0.000, 0.500], [0.000, 0.500, 0.500], [0.500, 0.000, 0.500], [0.500, 0.500, 0.000]],
  "n_ef_per_ev_cell": 1.7,
  "e_tot_ev_per_atom": -3.717
}

{
  "formula": "Pm7PrTl2",
  "functional": "GGA-PBE",
  "state": "relaxed",
  "lattice_angstrom": [[4.676, -7.939, 0.000], [4.676, 7.939, 0.000], [0.000, 0.000, 5.487]],
  "species": ["Pm", "Pm", "Pm", "Pm", "Pm", "Pm", "Pm", "Pr", "Tl", "Tl"],
  "fractional_positions": [[0.000, 0.000, 0.000], [0.198, 0.439, 0.000], [0.273, 0.727, 0.500], [0.439, 0.198, 0.000], [0.561, 0.802, 0.000], [0.727, 0.273, 0.500], [0.802, 0.561, 0.000], [0.500, 0.500, 0.500], [0.194, 0.806, 0.000], [0.806, 0.194, 0.000]],
  "formation_energy_ev_per_atom": 0.330,
  "n_ef_per_ev_cell": 20.1,
  "e_tot_ev_per_atom": -3.947
}

{
  "formula": "Fe2CoAg",
  "functional": "GGA-PBE",
  "state": "relaxed",
  "lattice_angstrom": [[-1.576, 2.073, 4.038], [1.576, -2.073, 4.038], [1.576, 2.073, -4.038]],
  "species": ["Fe", "Fe", "Co", "Ag"],
  "fractional_positions": [[0.234, 0.234, 0.000], [0.766, 0.766, 0.000], [0.000, 0.500, 0.500], [0.500, 0.000, 0.500]],
  "formation_energy_ev_per_atom": 0.302,
  "n_ef_per_ev_cell": 3.0,
  "polymorph_energy_mev_per_atom": 97,
  "e_tot_ev_per_atom": -6.419
}

{
  "formula": "BeTcBi2Br",
  "functional": "GGA-PBE",
  "state": "relaxed",
  "lattice_angstrom": [[5.729, 0.000, 0.000], [0.000, 5.729, 0.000], [0.000, 0.000, 4.623]],
  "species": ["Be", "Tc", "Bi", "Bi", "Br"],
  "fractional_positions": [[0.000, 0.000, 0.000], [0.500, 0.500, 0.000], [0.000, 0.500, 0.500], [0.500, 0.000, 0.500], [0.500, 0.500, 0.500]],
  "formation_energy_uncorrected_ev_per_atom": 1.68,
  "n_ef_per_ev_cell": 3.6,
  "e_tot_ev_per_atom": -3.026
}

{
  "formula": "BaNaTeBr",
  "functional": "GGA-PBE",
  "state": "relaxed",
  "lattice_angstrom": [[0.000, 4.061, 4.061], [4.061, 0.000, 4.061], [4.061, 4.061, 0.000]],
  "species": ["Ba", "Na", "Te", "Br"],
  "fractional_positions": [[0.000, 0.000, 0.000], [0.500, 0.500, 0.500], [0.250, 0.250, 0.250], [0.750, 0.750, 0.750]],
  "formation_energy_uncorrected_ev_per_atom": -1.52,
  "n_ef_per_ev_cell": 0.0,
  "polymorph_energy_mev_per_atom": 93,
  "e_tot_ev_per_atom": -3.536
}

{
  "formula": "PrUNbN3",
  "functional": "GGA-PBE",
  "state": "relaxed",
  "lattice_angstrom": [[7.302, 0.000, 0.000], [0.000, 3.323, 0.000], [-0.677, 0.000, 8.246]],
  "species": ["Pr", "Pr", "U", "U", "Nb", "Nb", "N", "N", "N", "N", "N", "N"],
  "fractional_positions": [[0.142, 0.250, 0.178], [0.858, 0.750, 0.822], [0.364, 0.750, 0.845], [0.636, 0.250, 0.155], [0.131, 0.250, 0.569], [0.869, 0.750, 0.431], [0.146, 0.250, 0.850], [0.170, 0.750, 0.413], [0.414, 0.750, 0.106], [0.586, 0.250, 0.894], [0.830, 0.250, 0.587], [0.854, 0.750, 0.150]],
  "formation_energy_uncorrected_ev_per_atom": -0.97,
  "n_ef_per_ev_cell": 10.8,
  "e_tot_ev_per_atom": -9.493
}

{
  "formula": "PmDy4ErSe8",
  "functional": "GGA-PBE",
  "state": "relaxed",
  "lattice_angstrom": [[4.224, 2.439, 6.883], [-4.224, 2.439, 6.883], [0.000, -4.877, 6.883]],
  "species": ["Pm", "Dy", "Dy", "Dy", "Dy", "Er", "Se", "Se", "Se", "Se", "Se", "Se", "Se", "Se"],
  "fractional_positions": [[0.000, 0.000, 0.000], [0.126, 0.624, 0.624], [0.249, 0.249, 0.249], [0.624, 0.126, 0.624], [0.624, 0.624, 0.126], [0.624, 0.624, 0.624], [0.381, 0.381, 0.381], [0.384, 0.384, 0.852], [0.384, 0.852, 0.384], [0.406, 0.863, 0.863], [0.852, 0.384, 0.384], [0.863, 0.406, 0.863], [0.863, 0.863, 0.406], [0.865, 0.865, 0.865]],
  "formation_energy_uncorrected_ev_per_atom": -1.71,
  "n_ef_per_ev_cell": 8.8,
  "e_tot_ev_per_atom": -5.684
}

{
  "formula": "ZrScZn6",
  "functional": "GGA-PBE",
  "state": "relaxed",
  "lattice_angstrom": [[4.397, 0.000, 0.000], [0.000, 2.953, 5.094], [0.000, -2.953, 5.094]],
  "species": ["Zr", "Sc", "Zn", "Zn", "Zn", "Zn", "Zn", "Zn"],
  "fractional_positions": [[0.000, 0.000, 0.000], [0.500, 0.670, 0.670], [0.000, 0.016, 0.493], [0.000, 0.493, 0.016], [0.000, 0.496, 0.496], [0.500, 0.176, 0.176], [0.500, 0.179, 0.650], [0.500, 0.650, 0.179]],
  "formation_energy_ev_per_atom": -0.290,
  "n_ef_per_ev_cell": 3.8,
  "e_tot_ev_per_atom": -3.105
}

{
  "formula": "SiMoAs2Br",
  "functional": "GGA-PBE",
  "state": "relaxed",
  "lattice_angstrom": [[4.799, 0.000, 0.000], [0.000, 4.799, 0.000], [0.000, 0.000, 4.899]],
  "species": ["Si", "Mo", "As", "As", "Br"],
  "fractional_positions": [[0.000, 0.000, 0.000], [0.500, 0.500, 0.500], [0.000, 0.500, 0.000], [0.500, 0.000, 0.000], [0.000, 0.000, 0.500]],
  "formation_energy_uncorrected_ev_per_atom": 1.04,
  "n_ef_per_ev_cell": 3.0,
  "polymorph_energy_mev_per_atom": 285,
  "e_tot_ev_per_atom": -4.410
}

{
  "formula": "CrSiRuW",
  "functional": "GGA-PBE",
  "state": "relaxed",
  "lattice_angstrom": [[0.000, 2.995, 2.995], [2.995, 0.000, 2.995], [2.995, 2.995, 0.000]],
  "species": ["Cr", "Si", "Ru", "W"],
  "fractional_positions": [[0.000, 0.000, 0.000], [0.250, 0.250, 0.250], [0.500, 0.500, 0.500], [0.750, 0.750, 0.750]],
  "formation_energy_uncorrected_ev_per_atom": -0.15,
  "n_ef_per_ev_cell": 3.1,
  "e_tot_ev_per_atom": -9.467
}

{
  "formula": "ZrTlTe3",
  "functional": "GGA-PBE",
  "state": "relaxed",
  "lattice_angstrom": [[8.839, -1.992, 0.000], [8.839, 1.992, 0.000], [-1.660, 0.000, 10.316]],
  "species": ["Zr", "Zr", "Tl", "Tl", "Te", "Te", "Te", "Te", "Te", "Te"],
  "fractional_positions": [[0.205, 0.205, 0.340], [0.795, 0.795, 0.660], [0.390, 0.390, 0.026], [0.610, 0.610, 0.974], [0.055, 0.055, 0.192], [0.232, 0.232, 0.812], [0.359, 0.359, 0.500], [0.641, 0.641, 0.500], [0.768, 0.768, 0.188], [0.945, 0.945, 0.808]],
  "formation_energy_uncorrected_ev_per_atom": -0.55,
  "n_ef_per_ev_cell": 5.8,
  "polymorph_energy_mev_per_atom": 0,
  "e_tot_ev_per_atom": -4.617
}

{
  "formula": "Ac2TeAs3Pd4",
  "functional": "GGA-PBE",
  "state": "relaxed",
  "lattice_angstrom": [[4.591, 0.000, 0.000], [0.000, 4.591, 0.000], [0.000, 0.000, 10.393]],
  "species": ["Ac", "Ac", "Te", "As", "As", "As", "Pd", "Pd", "Pd", "Pd"],
  "fractional_positions": [[0.000, 0.500, 0.235], [0.500, 0.000, 0.765], [0.000, 0.000, 0.500], [0.000, 0.500, 0.875], [0.500, 0.000, 0.125], [0.500, 0.500, 0.500], [0.000, 0.000, 0.000], [0.000, 0.500, 0.633], [0.500, 0.000, 0.367], [0.500, 0.500, 0.000]],
  "formation_energy_uncorrected_ev_per_atom": -0.88,
  "n_ef_per_ev_cell": 5.3,
  "e_tot_ev_per_atom": -5.488
}

{
  "formula": "Al2InAg",
  "functional": "GGA-PBE",
  "state": "relaxed",
  "lattice_angstrom": [[3.051, 0.000, 0.000], [0.000, 3.051, 0.000], [0.000, 0.000, 8.338]],
  "species": ["Al", "Al", "In", "Ag"],
  "fractional_positions": [[0.000, 0.000, 0.218], [0.000, 0.000, 0.782], [0.500, 0.500, 0.500], [0.500, 0.500, 0.000]],
  "formation_energy_ev_per_atom": 0.088,
  "n_ef_per_ev_cell": 0.7,
  "e_tot_ev_per_atom": -3.181
}

{
  "formula": "HfInTe2",
  "functional": "GGA-PBE",
  "state": "relaxed",
  "lattice_angstrom": [[6.731, 0.000, 0.000], [0.000, 3.906, 0.000], [-0.952, 0.000, 9.972]],
  "species": ["Hf", "Hf", "In", "In", "Te", "Te", "Te", "Te"],
  "fractional_positions": [[0.000, 0.000, 0.000], [0.500, 0.494, 0.000], [0.250, 0.246, 0.500], [0.750, 0.246, 0.500], [0.192, 0.500, 0.181], [0.308, 0.994, 0.819], [0.692, 0.994, 0.181], [0.808, 0.500, 0.819]],
  "formation_energy_uncorrected_ev_per_atom": -0.53,
  "n_ef_per_ev_cell": 3.2,
  "e_tot_ev_per_atom": -5.270
}

{
  "formula": "NaBeV3",
  "functional": "GGA-PBE",
  "state": "relaxed",
  "lattice_angstrom": [[4.375, 0.000, 0.000], [0.000, 4.375, 0.000], [0.000, 0.000, 4.375]],
  "species": ["Na", "Be", "V", "V", "V"],
  "fractional_positions": [[0.000, 0.000, 0.000], [0.500, 0.500, 0.500], [0.000, 0.000, 0.500], [0.000, 0.500, 0.000], [0.500, 0.000, 0.000]],
  "formation_energy_ev_per_atom": 2.400,
  "n_ef_per_ev_cell": 7.4,
  "polymorph_energy_mev_per_atom": 1303,
  "e_tot_ev_per_atom": -4.080
}

{
  "formula": "Ac4In2Ag",
  "functional": "GGA-PBE",
  "state": "relaxed",
  "lattice_angstrom": [[2.852, 1.647, 9.240], [-2.852, 1.647, 9.240], [0.000, -3.294, 9.240]],
  "species": ["Ac", "Ac", "Ac", "Ac", "In", "In", "Ag"],
  "fractional_positions": [[0.124, 0.124, 0.124], [0.375, 0.375, 0.375], [0.625, 0.625, 0.625], [0.876, 0.876, 0.876], [0.251, 0.251, 0.251], [0.749, 0.749, 0.749], [0.500, 0.500, 0.500]],
  "formation_energy_ev_per_atom": -0.252,
  "n_ef_per_ev_cell": 9.1,
  "polymorph_energy_mev_per_atom": 0,
  "e_tot_ev_per_atom": -3.790
}